Crystalline LiPaFeGe at its relaxed geometry. Source: the Alexandria database, functional PBE.

Summary:
For the total magnetization, the calculation gives 0.000 μB per formula unit. As for the space group: No. 216. The calculation puts the formation energy from the elements at -0.222 eV per atom.

Unit cell a=4.4566 b=4.4566 c=4.4566 alpha=60.00 beta=60.00 gamma=60.00
Atoms (fractional coordinates):
Li 0.0000 0.0000 0.0000
Pa 0.2500 0.2500 0.2500
Fe 0.5000 0.5000 0.5000
Ge 0.7500 0.7500 0.7500